CsReMo2 | the Alexandria database | PBE-GGA | optimized geometry; energy relative to the elements = 1.838 eV per atom; raw total energy = -6.90 eV per atom
1.0
0.000 3.328 3.328
3.328 0.000 3.328
3.328 3.328 0.000
Cs Re Mo
1 1 2
direct
0.000 0.000 0.000
0.500 0.500 0.500
0.250 0.250 0.250
0.750 0.750 0.750

TmZn4Re | the Alexandria database | PBE-GGA | optimized geometry; energy relative to the elements = -0.071 eV per atom; raw total energy = -3.74 eV per atom
1.0
0.000 3.606 3.606
3.606 0.000 3.606
3.606 3.606 0.000
Tm Zn Re
1 4 1
direct
0.000 0.000 0.000
0.128 0.624 0.624
0.624 0.128 0.624
0.624 0.624 0.128
0.624 0.624 0.624
0.250 0.250 0.250